{
  "formula": "La2MgBiC",
  "functional": "GGA-PBE",
  "state": "optimized geometry",
  "lattice_angstrom": [[-1.4161, 5.1404, -0.0724], [-2.1465, -0.6594, -4.8365], [-3.9324, -1.0567, 1.8893]],
  "species": ["C", "Mg", "Bi", "La", "La"],
  "frac_coords": [[0.0000, 0.0000, 0.0000], [0.0000, 0.0000, 0.5000], [0.5000, 0.5000, 0.5000], [0.0000, 0.5000, 0.0000], [0.5000, 0.0000, 0.0000]],
  "volume_a3_per_fu": 128,
  "final_energy_ev_per_atom": -5.35,
  "mass_density_g_cm3": 6.81,
  "n_ef_per_ev_atom": 0.388,
  "total_magnetization_mub_per_fu": 0.00,
  "ef_mev_per_atom": -438.0
}